Entry 1:
The following is a PBE-GGA calculation of a geometry-optimized PmNd6Hg2 structure, from the Alexandria database.

abc: 3.8326 6.7758 12.0749
angles: 75.58 80.87 73.57
With the nearest neighbours (Å) after each atom.
Fractional coordinates of all 9 atoms:
Nd: 0.3137 0.4972 0.8755  2 Hg 3.30, 5 Nd 3.54-3.64
Nd: 0.3105 0.7902 0.5888  2 Hg 3.39, 8 Nd 3.54-3.70
Nd: 0.6863 0.5028 0.1245  2 Hg 3.30, 5 Nd 3.54-3.64
Nd: 0.9790 0.7046 0.3375  2 Hg 3.26, 3 Nd 3.58-3.64
Nd: 0.0210 0.2954 0.6625  2 Hg 3.26, 3 Nd 3.58-3.64
Nd: 0.6895 0.2098 0.4112  2 Hg 3.39, 8 Nd 3.54-3.70
Hg: 0.6420 0.9169 0.7991  2 Pm 3.20, 6 Nd 3.26-3.39
Hg: 0.3580 0.0831 0.2009  2 Pm 3.20, 6 Nd 3.26-3.39
Pm: 0.0000 0.0000 0.0000  4 Hg 3.20

Output
Energy in eV per cell: -35.85
Volume in A^3/atom: 32.22
Space-group type: C2/m (12)
DOS(E_F) in states/eV per atom: 1.040
Formation energy from the elements in eV/atom: -0.210
Mass density in g cm⁻³: 8.08

=====

Entry 2:
The following is a PBE-GGA calculation of a geometry-optimized SrGa2Si structure, from the Alexandria database.

abc: 6.8150 6.8150 6.8150
angles: 97.71 135.76 98.59
With the nearest neighbours (Å) after each atom.
Fractional coordinates of all 8 atoms:
Ga: 0.5004 0.2500 0.2504  2 Si 2.57, 2 Ga 2.57
Ga: 0.9996 0.7500 0.2496  2 Si 2.57, 2 Ga 2.57
Ga: 0.0004 0.2500 0.7504  2 Si 2.57, 2 Ga 2.57
Ga: 0.4996 0.7500 0.7496  2 Si 2.57, 2 Ga 2.57
Si: 0.5000 0.0000 0.5000  4 Ga 2.57
Si: 0.5000 0.5000 0.0000  4 Ga 2.57
Sr: 0.0000 0.7500 0.7500  8 Ga 3.41, 4 Si 3.41
Sr: 0.0000 0.2500 0.2500  8 Ga 3.41, 4 Si 3.41

Output
Energy in eV per cell: -27.43
Volume in A^3/atom: 25.57
Space-group type: Cmmm (65)
Formation energy (no corrections) in eV per formula unit: -0.56
DOS(E_F) in states/eV per atom: 0.557
Mass density in g cm⁻³: 4.14

=====

- The highest volume belongs to which entry?
  PmNd6Hg2